VASP calculation (GGA-PBE) on an optimized crystal structure of AcPr5Nd2Sm.

a b c (Å): 9.095 9.095 16.164
angles (deg): 90.00 90.00 90.00
Space group I4/mcm (No. 140)
Symmetry-distinct sites (fractional):
Ac (0.000, 0.500, 0.250) [4 per cell]
Pr (0.000, 0.000, 0.000) [4 per cell]
Pr (0.211, 0.289, 0.135) [16 per cell]
Nd (0.115, 0.385, 0.500) [8 per cell]
Sm (0.000, 0.000, 0.250) [4 per cell]

Summary:
formation energy = 0.260 eV per atom
volume = 1337 Å³ per cell
D(E_F) = 57.26 states/eV per cell


VASP calculation (GGA-PBE) on an optimized crystal structure of AcPrNd2Sm.

a b c (Å): 8.423 12.411 7.441
angles (deg): 90.00 90.00 90.00
Space group Cmcm (No. 63)
Symmetry-distinct sites (fractional):
Ac (0.000, 0.241, 0.250) [4 per cell]
Pr (0.000, 0.059, 0.750) [4 per cell]
Nd (0.195, 0.500, 0.000) [8 per cell]
Sm (0.000, 0.305, 0.750) [4 per cell]

Summary:
formation energy = 0.320 eV per atom
volume = 778 Å³ per cell
D(E_F) = 26.07 states/eV per cell


VASP calculation (GGA-PBE) on an optimized crystal structure of Ac2PrNd2Sm.

a b c (Å): 7.407 5.993 10.305
angles (deg): 90.00 90.00 90.00
Space group Pmma (No. 51)
Symmetry-distinct sites (fractional):
Ac (0.000, 0.000, 0.000) [2 per cell]
Ac (0.250, 0.500, 0.172) [2 per cell]
Pr (0.000, 0.500, 0.500) [2 per cell]
Nd (0.250, 0.000, 0.343) [2 per cell]
Nd (0.250, 0.500, 0.826) [2 per cell]
Sm (0.250, 0.000, 0.666) [2 per cell]

Summary:
formation energy = 0.069 eV per atom
volume = 457 Å³ per cell
D(E_F) = 17.77 states/eV per cell


VASP calculation (GGA-PBE) on an optimized crystal structure of Ac4PrNdSm2.

a b c (Å): 6.825 7.421 12.446
angles (deg): 90.00 90.00 90.00
Space group I222 (No. 23)
Symmetry-distinct sites (fractional):
Ac (0.250, 0.124, 0.250) [8 per cell]
Pr (0.000, 0.000, 0.000) [2 per cell]
Nd (0.000, 0.500, 0.000) [2 per cell]
Sm (0.000, 0.250, 0.500) [4 per cell]

Summary:
formation energy = 0.118 eV per atom
volume = 630 Å³ per cell
D(E_F) = 26.68 states/eV per cell


VASP calculation (GGA-PBE) on an optimized crystal structure of AcPrNdSn.

a b c (Å): 8.059 8.059 8.059
angles (deg): 90.00 90.00 90.00
Space group F-43m (No. 216)
Symmetry-distinct sites (fractional):
Ac (0.000, 0.000, 0.000) [4 per cell]
Pr (0.250, 0.250, 0.250) [4 per cell]
Nd (0.250, 0.250, 0.750) [4 per cell]
Sn (0.000, 0.000, 0.500) [4 per cell]

Summary:
formation energy = -0.226 eV per atom
volume = 523 Å³ per cell
D(E_F) = 28.21 states/eV per cell


VASP calculation (GGA-PBE) on an optimized crystal structure of SrAcPrNd.

a b c (Å): 8.712 8.712 8.712
angles (deg): 90.00 90.00 90.00
Space group F-43m (No. 216)
Symmetry-distinct sites (fractional):
Sr (0.000, 0.000, 0.000) [4 per cell]
Ac (0.000, 0.000, 0.500) [4 per cell]
Pr (0.250, 0.250, 0.250) [4 per cell]
Nd (0.250, 0.250, 0.750) [4 per cell]

Summary:
formation energy = 0.186 eV per atom
volume = 661 Å³ per cell
D(E_F) = 33.77 states/eV per cell


VASP calculation (GGA-PBE) on an optimized crystal structure of AcTbPrNd.

a b c (Å): 8.414 8.414 8.414
angles (deg): 90.00 90.00 90.00
Space group F-43m (No. 216)
Symmetry-distinct sites (fractional):
Ac (0.000, 0.000, 0.000) [4 per cell]
Tb (0.000, 0.000, 0.500) [4 per cell]
Pr (0.250, 0.250, 0.250) [4 per cell]
Nd (0.250, 0.250, 0.750) [4 per cell]

Summary:
formation energy = 0.159 eV per atom
volume = 596 Å³ per cell
D(E_F) = 39.16 states/eV per cell


VASP calculation (GGA-PBE) on an optimized crystal structure of AcTb2Pr4Nd.

a b c (Å): 11.720 5.240 10.527
angles (deg): 90.00 116.74 90.00
Space group C2/m (No. 12)
Symmetry-distinct sites (fractional):
Ac (0.000, 0.000, 0.000) [2 per cell]
Tb (0.001, 0.500, 0.745) [4 per cell]
Pr (0.248, 0.000, 0.871) [4 per cell]
Pr (0.249, 0.500, 0.622) [4 per cell]
Nd (0.000, 0.000, 0.500) [2 per cell]

Summary:
formation energy = 0.028 eV per atom
volume = 577 Å³ per cell
D(E_F) = 26.23 states/eV per cell